{
  "formula": "MgNi4Sb",
  "functional": "PBE",
  "state": "optimized geometry",
  "cell": [[-1.869, 2.476, -2.626], [-5.101, -5.331, -1.397], [-1.663, 1.032, 2.157]],
  "species": ["Sb", "Mg", "Ni", "Ni", "Ni", "Ni"],
  "frac_coords": [[0.500, 0.500, 0.500], [0.000, 0.000, 0.000], [0.500, 0.783, 0.001], [0.000, 0.709, 0.500], [0.500, 0.217, 0.999], [0.000, 0.291, 0.500]],
  "crystal_system": "monoclinic",
  "relative_energy_mev_per_atom": 210,
  "raw_formation_energy_ev_per_atom": 0.083
}

***

{
  "formula": "Hg3BiAu",
  "functional": "PBE",
  "state": "optimized geometry",
  "cell": [[-6.306, -0.463, -1.026], [-0.357, -5.519, 4.689], [1.518, 8.122, 9.676]],
  "species": ["Hg", "Au", "Au", "Bi", "Au", "Bi", "Hg", "Bi", "Au", "Hg", "Hg", "Hg", "Hg", "Hg", "Hg", "Hg", "Hg", "Hg", "Bi", "Hg"],
  "frac_coords": [[0.894, 0.817, 0.428], [0.897, 0.583, 0.899], [0.103, 0.583, 0.601], [0.237, 0.893, 0.739], [0.897, 0.417, 0.399], [0.763, 0.893, 0.761], [0.518, 0.776, 0.981], [0.763, 0.107, 0.261], [0.103, 0.417, 0.101], [0.709, 0.417, 0.689], [0.291, 0.417, 0.811], [0.291, 0.583, 0.311], [0.894, 0.183, 0.928], [0.106, 0.183, 0.572], [0.482, 0.776, 0.519], [0.482, 0.224, 0.019], [0.709, 0.583, 0.189], [0.518, 0.224, 0.481], [0.237, 0.107, 0.239], [0.106, 0.817, 0.072]],
  "ef_ev_per_atom": 0.05,
  "crystal_system": "monoclinic",
  "relative_energy_mev_per_atom": 0
}

***

{
  "formula": "Tb4Nd3In2",
  "functional": "PBE",
  "state": "optimized geometry",
  "cell": [[6.535, 0.143, 0.102], [0.456, 9.246, -1.731], [0.456, 1.340, 9.311]],
  "species": ["Nd", "In", "Nd", "Tb", "Tb", "Tb", "Tb", "Nd", "In", "Tb", "In", "Nd", "Tb", "In", "Nd", "Nd", "Tb", "Tb"],
  "frac_coords": [[0.405, 0.179, 0.046], [0.960, 0.631, 0.779], [0.095, 0.954, 0.821], [0.417, 0.893, 0.320], [0.413, 0.479, 0.825], [0.083, 0.680, 0.107], [0.587, 0.521, 0.175], [0.595, 0.821, 0.954], [0.540, 0.221, 0.369], [0.087, 0.175, 0.521], [0.040, 0.369, 0.221], [0.750, 0.468, 0.532], [0.917, 0.320, 0.893], [0.460, 0.779, 0.631], [0.905, 0.046, 0.179], [0.250, 0.532, 0.468], [0.583, 0.107, 0.680], [0.913, 0.825, 0.479]],
  "ef_ev_per_atom": -0.12,
  "crystal_system": "monoclinic"
}

***

DOS at the Fermi energy: 0.81 0.26 1.30 (states/eV/atom)
Total DFT energy (no corrections): -28.35 -31.22 -78.77 (eV/cell)